Entry 1:
Below is a geometry-optimized Pm2Zn2Ga3 structure, with properties calculated at the PBE level.

Results
Energy relative to the elements = -0.2836 eV per atom
Crystal system = orthorhombic

a = 3.536 Å, b = 4.383 Å, c = 10.127 Å
α = 102.50°, β = 90.00°, γ = 90.00°
Fractional positions:
Ga 0.500 0.568 0.136
Ga 0.500 0.432 0.864
Ga 0.000 0.000 0.000
Pm 0.000 0.154 0.309
Pm 0.000 0.846 0.691
Zn 0.500 0.716 0.432
Zn 0.500 0.284 0.568


Entry 2:
Below is a geometry-optimized Er8Ga3Ge2 structure, with properties calculated at the PBE level.

Results
Energy relative to the elements = -0.3666 eV per atom
Crystal system = monoclinic

a = 5.892 Å, b = 7.556 Å, c = 9.035 Å
α = 114.72°, β = 105.33°, γ = 90.00°
Fractional positions:
Er 0.498 0.375 0.247
Er 0.502 0.625 0.753
Er 0.498 0.872 0.247
Er 0.502 0.128 0.753
Er 0.072 0.688 0.377
Er 0.928 0.312 0.623
Er 0.982 0.098 0.196
Er 0.018 0.902 0.804
Ga 0.000 0.668 0.000
Ga 0.000 0.332 0.000
Ga 0.500 0.000 0.000
Ge 0.375 0.243 0.487
Ge 0.625 0.757 0.513


Entry 3:
Below is a geometry-optimized BaBeH4 structure, with properties calculated at the PBE level.

Results
Energy = -0.1312 hartree per atom
Crystal system = orthorhombic

a = 4.738 Å, b = 4.738 Å, c = 8.770 Å
α = 90.00°, β = 90.00°, γ = 60.00°
Fractional positions:
H 0.386 0.687 0.750
H 0.228 0.376 0.608
H 0.624 0.772 0.108
H 0.886 0.298 0.250
H 0.313 0.614 0.250
H 0.702 0.114 0.750
H 0.624 0.772 0.392
H 0.228 0.376 0.892
Be 0.380 0.385 0.750
Be 0.615 0.620 0.250
Ba 0.007 0.993 0.000
Ba 0.007 0.993 0.500


Entry 4:
Below is a geometry-optimized Ba2TbScSe5 structure, with properties calculated at the PBE level.

Results
Crystal system = orthorhombic
Formation energy (no corrections) = -17.215 eV/f.u.

a = 4.392 Å, b = 9.198 Å, c = 13.883 Å
α = 90.00°, β = 90.00°, γ = 103.81°
Fractional positions:
Se 0.627 0.254 0.498
Se 0.716 0.433 0.154
Se 0.323 0.645 0.383
Se 0.510 0.020 0.275
Se 0.949 0.898 0.550
Se 0.490 0.980 0.775
Se 0.677 0.355 0.883
Se 0.051 0.102 0.050
Se 0.284 0.567 0.654
Se 0.373 0.746 0.998
Sc 0.472 0.943 0.452
Sc 0.528 0.057 0.952
Ba 0.106 0.213 0.687
Ba 0.857 0.715 0.807
Ba 0.143 0.285 0.307
Ba 0.894 0.787 0.187
Tb 0.212 0.424 0.018
Tb 0.788 0.576 0.518


Entry 5:
Below is a geometry-optimized AcTb3 structure, with properties calculated at the PBE level.

Results
Energy relative to the elements = 0.0564 eV per atom
Crystal system = tetragonal

a = 5.226 Å, b = 5.226 Å, c = 6.312 Å
α = 114.45°, β = 114.45°, γ = 90.00°
Fractional positions:
Ac 0.000 0.000 0.000
Tb 0.250 0.750 0.500
Tb 0.750 0.250 0.500
Tb 0.500 0.500 0.000


Entry 6:
Below is a geometry-optimized SrHo2S structure, with properties calculated at the PBE level.

Results
Crystal system = trigonal
Formation energy (no corrections) = -3.016 eV/f.u.

a = 3.804 Å, b = 3.804 Å, c = 10.345 Å
α = 79.41°, β = 79.41°, γ = 60.00°
Fractional positions:
S 0.500 0.500 0.500
Ho 0.116 0.116 0.652
Ho 0.884 0.884 0.348
Sr 0.000 0.000 0.000


Entry 7:
Below is a geometry-optimized KYAl2 structure, with properties calculated at the PBE level.

Results
Energy relative to the elements = 0.0297 eV per atom
Crystal system = trigonal

a = 8.316 Å, b = 8.316 Å, c = 8.316 Å
α = 31.40°, β = 31.40°, γ = 31.40°
Fractional positions:
Al 0.305 0.305 0.305
Al 0.971 0.971 0.971
K 0.520 0.520 0.520
Y 0.703 0.703 0.703


Entry 8:
Below is a geometry-optimized CsAsPdPb structure, with properties calculated at the PBE level.

Results
Energy relative to the elements = -0.3709 eV per atom
Crystal system = monoclinic

a = 4.401 Å, b = 4.401 Å, c = 8.012 Å
α = 90.02°, β = 106.01°, γ = 119.81°
Fractional positions:
Pb 0.006 0.867 0.873
Cs 0.392 0.061 0.453
Pd 0.796 0.262 0.058
As 0.498 0.614 0.112


Entry 9:
Below is a geometry-optimized Th2Se2S structure, with properties calculated at the PBE level.

Results
Crystal system = orthorhombic
Formation energy (no corrections) = -8.334 eV/f.u.

a = 6.016 Å, b = 7.734 Å, c = 7.552 Å
α = 120.80°, β = 113.47°, γ = 90.00°
Fractional positions:
Se 0.359 0.711 0.717
Se 0.141 0.994 0.283
Se 0.641 0.289 0.283
Se 0.859 0.006 0.717
Th 0.388 0.130 0.776
Th 0.112 0.354 0.224
Th 0.888 0.646 0.776
Th 0.612 0.870 0.224
S 0.250 0.500 0.000
S 0.750 0.500 0.000


Entry 10:
Below is a geometry-optimized Nb2CdF structure, with properties calculated at the PBE level.

Results
Crystal system = cubic
Formation energy (no corrections) = 0.869 eV/f.u.

a = 4.589 Å, b = 4.589 Å, c = 4.589 Å
α = 60.00°, β = 60.00°, γ = 60.00°
Fractional positions:
Nb 0.750 0.750 0.750
Nb 0.250 0.250 0.250
Cd 0.500 0.500 0.500
F 0.000 0.000 0.000


Entry 11:
Below is a geometry-optimized Pm2PrF structure, with properties calculated at the PBE level.

Results
Crystal system = trigonal
Formation energy (no corrections) = -3.749 eV/f.u.

a = 3.737 Å, b = 3.737 Å, c = 9.793 Å
α = 79.00°, β = 79.00°, γ = 60.00°
Fractional positions:
Pm 0.882 0.882 0.355
Pm 0.118 0.118 0.645
Pr 0.000 0.000 0.000
F 0.500 0.500 0.500


Entry 12:
Below is a geometry-optimized TaAlBr structure, with properties calculated at the PBE level.

Results
Crystal system = cubic
Formation energy (no corrections) = 2.960 eV/f.u.

a = 4.587 Å, b = 4.587 Å, c = 4.587 Å
α = 60.00°, β = 60.00°, γ = 60.00°
Fractional positions:
Ta 0.750 0.750 0.750
Al 0.000 0.000 0.000
Br 0.500 0.500 0.500


Entry 13:
Below is a geometry-optimized Ho2Zn15Ni2 structure, with properties calculated at the PBE level.

Results
Energy relative to the elements = -0.2227 eV per atom
Crystal system = trigonal

a = 6.719 Å, b = 6.719 Å, c = 6.719 Å
α = 82.43°, β = 82.43°, γ = 82.43°
Fractional positions:
Zn 0.649 0.649 0.152
Zn 0.000 0.285 0.715
Zn 0.715 0.285 0.000
Zn 0.715 0.000 0.285
Zn 0.285 0.000 0.715
Zn 0.649 0.152 0.649
Zn 0.000 0.000 0.500
Zn 0.500 0.000 0.000
Zn 0.000 0.500 0.000
Zn 0.848 0.351 0.351
Zn 0.000 0.715 0.285
Zn 0.152 0.649 0.649
Zn 0.351 0.848 0.351
Zn 0.285 0.715 0.000
Zn 0.351 0.351 0.848
Ni 0.103 0.103 0.103
Ni 0.897 0.897 0.897
Ho 0.669 0.669 0.669
Ho 0.331 0.331 0.331


Entry 14:
Below is a geometry-optimized CaAcB2O6 structure, with properties calculated at the PBE level.

Results
Crystal system = monoclinic
Formation energy (no corrections) = -27.467 eV/f.u.

a = 6.686 Å, b = 6.686 Å, c = 6.467 Å
α = 103.55°, β = 103.55°, γ = 92.80°
Last column: magnetic moment on the atom in μB.
Fractional positions:
O 0.848 0.834 0.884  0.21
O 0.916 0.410 0.166  0.15
O 0.410 0.916 0.666  0.15
O 0.084 0.590 0.834  0.15
O 0.166 0.152 0.616  0.21
O 0.500 0.726 0.135  0.07
O 0.274 0.500 0.365  0.07
O 0.726 0.500 0.635  0.07
O 0.834 0.848 0.384  0.21
O 0.152 0.166 0.116  0.21
O 0.590 0.084 0.334  0.15
O 0.500 0.274 0.865  0.07
B 0.885 0.641 0.774  -0.01
B 0.359 0.115 0.726  -0.01
B 0.115 0.359 0.226  -0.01
B 0.641 0.885 0.274  -0.01
Ca 0.591 0.409 0.250  0.00
Ca 0.409 0.591 0.750  0.00
Ac 0.839 0.161 0.750  0.00
Ac 0.161 0.839 0.250  0.00


Entry 15:
Below is a geometry-optimized HfScInSb2 structure, with properties calculated at the PBE level.

Results
Crystal system = tetragonal
Formation energy (no corrections) = 2.760 eV/f.u.

a = 5.400 Å, b = 5.262 Å, c = 5.400 Å
α = 90.00°, β = 90.00°, γ = 90.00°
Fractional positions:
Hf 0.000 0.500 0.000
Sc 0.000 0.000 0.000
In 0.500 0.500 0.500
Sb 0.500 0.000 0.000
Sb 0.000 0.000 0.500


Entry 16:
Below is a geometry-optimized AlIn structure, with properties calculated at the PBE level.

Results
Energy relative to the elements = 0.1274 eV per atom
Crystal system = tetragonal

a = 10.789 Å, b = 10.789 Å, c = 3.167 Å
α = 90.00°, β = 90.00°, γ = 90.00°
Fractional positions:
In 0.172 0.880 0.000
In 0.120 0.172 0.000
In 0.828 0.120 0.000
In 0.880 0.828 0.000
In 0.672 0.380 0.500
In 0.380 0.328 0.500
In 0.620 0.672 0.500
In 0.328 0.620 0.500
Al 0.581 0.124 0.500
Al 0.376 0.081 0.000
Al 0.919 0.376 0.000
Al 0.419 0.876 0.500
Al 0.081 0.624 0.000
Al 0.876 0.581 0.500
Al 0.124 0.419 0.500
Al 0.624 0.919 0.000


Entry 17:
Below is a geometry-optimized SrTeSe2 structure, with properties calculated at the PBE level.

Results
Crystal system = triclinic
Formation energy (no corrections) = -3.856 eV/f.u.

a = 4.698 Å, b = 5.623 Å, c = 5.676 Å
α = 89.81°, β = 67.86°, γ = 70.58°
Fractional positions:
Te 0.982 0.188 0.575
Se 0.140 0.097 0.081
Se 0.115 0.610 0.575
Sr 0.754 0.711 0.185


Entry 18:
Below is a geometry-optimized LiIn2Mo structure, with properties calculated at the PBE level.

Results
Energy relative to the elements = 0.1770 eV per atom
Crystal system = trigonal

a = 9.670 Å, b = 9.670 Å, c = 9.670 Å
α = 18.28°, β = 18.28°, γ = 18.28°
Fractional positions:
Mo 0.750 0.750 0.750
Li 0.250 0.250 0.250
In 0.000 0.000 0.000
In 0.500 0.500 0.500


Entry 19:
Below is a geometry-optimized Li2Zn6Ga structure, with properties calculated at the PBE level.

Results
Energy relative to the elements = 0.3086 eV per atom
Crystal system = tetragonal

a = 5.103 Å, b = 5.103 Å, c = 14.137 Å
α = 90.00°, β = 90.00°, γ = 90.00°
Fractional positions:
Zn 0.672 0.672 0.810
Zn 0.328 0.328 0.810
Zn 0.671 0.671 0.500
Zn 0.672 0.672 0.190
Zn 0.172 0.828 0.690
Zn 0.171 0.829 0.000
Zn 0.829 0.171 0.000
Zn 0.329 0.329 0.500
Zn 0.828 0.172 0.690
Zn 0.172 0.828 0.310
Zn 0.828 0.172 0.310
Zn 0.328 0.328 0.190
Ga 0.500 0.500 0.000
Ga 0.000 0.000 0.500
Li 0.500 0.500 0.348
Li 0.000 0.000 0.848
Li 0.500 0.500 0.652
Li 0.000 0.000 0.152


Entry 20:
Below is a geometry-optimized Y6Er12Th structure, with properties calculated at the PBE level.

Results
Energy relative to the elements = 0.2258 eV per atom
Crystal system = trigonal

a = 8.669 Å, b = 8.669 Å, c = 8.669 Å
α = 99.80°, β = 99.80°, γ = 99.80°
Fractional positions:
Er 0.755 0.245 0.500
Er 0.925 0.654 0.654
Er 0.654 0.925 0.654
Er 0.500 0.755 0.245
Er 0.346 0.346 0.075
Er 0.245 0.500 0.755
Er 0.500 0.245 0.755
Er 0.654 0.654 0.925
Er 0.755 0.500 0.245
Er 0.245 0.755 0.500
Er 0.075 0.346 0.346
Er 0.346 0.075 0.346
Y 0.664 0.108 0.108
Y 0.892 0.892 0.336
Y 0.108 0.108 0.664
Y 0.336 0.892 0.892
Y 0.892 0.336 0.892
Y 0.108 0.664 0.108
Th 0.000 0.000 0.000